*a*
This record from Alexandria describes an optimized crystal structure of CrReP. The functional is GGA-PBE.

Computed properties:
As for the magnetic moment: 0.16 μB per formula unit. For the density of states at the Fermi level, the calculation gives 2.13 states/eV/f.u. Its space-group type is P-6m2. As for the theoretical density: 11.26 g cm⁻³.

Cell: 4.053 4.053 2.790 Å, 90.00 90.00 120.00°
Positions (direct):
Cr 0.000 0.000 0.000
Re 0.667 0.333 0.500
P 0.333 0.667 0.500

*b*
This record from Alexandria describes an optimized crystal structure of CrReP. The functional is GGA-PBE.

Computed properties:
As for the magnetic moment: 0.00 μB per formula unit. For the density of states at the Fermi level, the calculation gives 2.23 states/eV/f.u. Its space-group type is Imm2. As for the theoretical density: 11.46 g cm⁻³.

Cell: 4.309 4.309 4.309 Å, 141.67 127.10 67.20°
Positions (direct):
Cr 0.997 0.997 0.000
Re 0.334 0.334 0.000
P 0.669 0.669 0.000

Relative energies in eV/atom: *a* 0.000; *b* 0.107

*a*
This record from Alexandria describes an optimized crystal structure of CrReP. The functional is GGA-PBE.

Computed properties:
As for the magnetic moment: 1.25 μB per formula unit. For the density of states at the Fermi level, the calculation gives 3.27 states/eV/f.u. Its space-group type is Fmm2. As for the theoretical density: 11.08 g cm⁻³.

Cell: 6.165 5.891 2.795 Å, 82.12 71.19 26.68°
Positions (direct):
P 0.662 0.662 0.338
Re 0.325 0.325 0.675
Cr 0.013 0.013 0.987

*b*
This record from Alexandria describes an optimized crystal structure of CrReP. The functional is GGA-PBE.

Computed properties:
As for the magnetic moment: 0.01 μB per formula unit. For the density of states at the Fermi level, the calculation gives 1.95 states/eV/f.u. Its space-group type is F-43m. As for the theoretical density: 10.48 g cm⁻³.

Cell: 3.921 3.921 3.921 Å, 60.00 60.00 60.00°
Positions (direct):
Re 0.500 0.500 0.500
P 0.000 0.000 0.000
Cr 0.750 0.750 0.750

Relative energies in eV/atom: *a* 0.307; *b* 0.000

*a*
This record from Alexandria describes an optimized crystal structure of CrPRh3. The functional is GGA-PBE.

Computed properties:
As for the magnetic moment: 0.00 μB per formula unit. For the density of states at the Fermi level, the calculation gives 5.49 states/eV/f.u. Its space-group type is Pm-3m. As for the theoretical density: 7.44 g cm⁻³.

Cell: 4.439 4.439 4.439 Å, 90.00 90.00 90.00°
Positions (direct):
Rh 0.000 0.500 0.000
Cr 0.000 0.000 0.000
P 0.500 0.500 0.500
Rh 0.500 0.000 0.000
Rh 0.000 0.000 0.500

*b*
This record from Alexandria describes an optimized crystal structure of CrPRh3. The functional is GGA-PBE.

Computed properties:
As for the magnetic moment: 0.55 μB per formula unit. For the density of states at the Fermi level, the calculation gives 14.55 states/eV/f.u. Its space-group type is Pm-3m. As for the theoretical density: 7.99 g cm⁻³.

Cell: 4.334 4.334 4.334 Å, 90.00 90.00 90.00°
Positions (direct):
Cr 0.500 0.500 0.500
Rh 0.500 0.000 0.000
Rh 0.000 0.500 0.000
P 0.000 0.000 0.000
Rh 0.000 0.000 0.500

Relative energies in eV/atom: *a* 0.596; *b* 0.000

*a*
This record from Alexandria describes an optimized crystal structure of Cr3PRh. The functional is GGA-PBE.

Computed properties:
As for the magnetic moment: 5.30 μB per formula unit. For the density of states at the Fermi level, the calculation gives 5.84 states/eV/f.u. Its space-group type is Pm-3m. As for the theoretical density: 6.46 g cm⁻³.

Cell: 4.208 4.208 4.208 Å, 90.00 90.00 90.00°
Positions (direct):
P 0.000 0.000 0.000
Cr 0.000 0.000 0.500
Cr 0.500 0.000 0.000
Rh 0.500 0.500 0.500
Cr 0.000 0.500 0.000

*b*
This record from Alexandria describes an optimized crystal structure of Cr3PRh. The functional is GGA-PBE.

Computed properties:
As for the magnetic moment: 11.03 μB per formula unit. For the density of states at the Fermi level, the calculation gives 7.69 states/eV/f.u. Its space-group type is Pm-3m. As for the theoretical density: 4.66 g cm⁻³.

Cell: 4.691 4.691 4.691 Å, 90.00 90.00 90.00°
Positions (direct):
Cr 0.500 0.000 0.000
Cr 0.000 0.000 0.500
P 0.500 0.500 0.500
Rh 0.000 0.000 0.000
Cr 0.000 0.500 0.000

Relative energies in eV/atom: *a* 0.000; *b* 0.723

*a*
This record from Alexandria describes an optimized crystal structure of CrPRhS2. The functional is GGA-PBE.

Computed properties:
As for the magnetic moment: 3.77 μB per formula unit. For the density of states at the Fermi level, the calculation gives 3.09 states/eV/f.u. Its space-group type is P4/mmm. As for the theoretical density: 4.10 g cm⁻³.

Cell: 4.849 4.849 4.305 Å, 90.00 90.00 90.00°
Positions (direct):
S 0.000 0.500 0.000
P 0.000 0.000 0.500
Cr 0.500 0.500 0.500
Rh 0.000 0.000 0.000
S 0.500 0.000 0.000

*b*
This record from Alexandria describes an optimized crystal structure of CrPRhS2. The functional is GGA-PBE.

Computed properties:
As for the magnetic moment: 0.00 μB per formula unit. For the density of states at the Fermi level, the calculation gives 3.92 states/eV/f.u. Its space-group type is P4/mmm. As for the theoretical density: 4.91 g cm⁻³.

Cell: 4.352 4.352 4.461 Å, 90.00 90.00 90.00°
Positions (direct):
Rh 0.500 0.500 0.500
S 0.500 0.000 0.000
S 0.000 0.500 0.000
Cr 0.000 0.000 0.000
P 0.000 0.000 0.500

Relative energies in eV/atom: *a* 0.008; *b* 0.000

*a*
This record from Alexandria describes an optimized crystal structure of CrP2Ru. The functional is GGA-PBE.

Computed properties:
As for the magnetic moment: 0.92 μB per formula unit. For the density of states at the Fermi level, the calculation gives 3.25 states/eV/f.u. Its space-group type is R-3m. As for the theoretical density: 7.05 g cm⁻³.

Cell: 7.287 7.287 7.287 Å, 22.72 22.72 22.72°
Positions (direct):
Cr 0.750 0.750 0.750
P 0.003 0.003 0.003
P 0.497 0.497 0.497
Ru 0.250 0.250 0.250

*b*
This record from Alexandria describes an optimized crystal structure of CrP2Ru. The functional is GGA-PBE.

Computed properties:
As for the magnetic moment: 1.61 μB per formula unit. For the density of states at the Fermi level, the calculation gives 2.56 states/eV/f.u. Its space-group type is Pmm2. As for the theoretical density: 6.90 g cm⁻³.

Cell: 2.918 3.505 5.060 Å, 90.00 90.00 90.00°
Positions (direct):
P 0.500 0.500 0.291
Ru 0.000 0.000 0.445
P 0.000 0.000 0.950
Cr 0.500 0.500 0.814

*c*
This record from Alexandria describes an optimized crystal structure of CrP2Ru. The functional is GGA-PBE.

Computed properties:
As for the magnetic moment: 0.00 μB per formula unit. For the density of states at the Fermi level, the calculation gives 2.08 states/eV/f.u. Its space-group type is Fm-3m. As for the theoretical density: 7.41 g cm⁻³.

Cell: 4.084 4.084 4.084 Å, 60.00 60.00 60.00°
Positions (direct):
Cr 0.000 0.000 0.000
P 0.750 0.750 0.750
P 0.250 0.250 0.250
Ru 0.500 0.500 0.500

Relative energies in eV/atom: *a* 0.148; *b* 0.000; *c* 0.027

*a*
This record from Alexandria describes an optimized crystal structure of CrP2Ru. The functional is GGA-PBE.

Computed properties:
As for the magnetic moment: 0.85 μB per formula unit. For the density of states at the Fermi level, the calculation gives 2.84 states/eV/f.u. Its space-group type is Cmmm. As for the theoretical density: 6.73 g cm⁻³.

Cell: 2.879 2.879 7.397 Å, 90.00 90.00 120.14°
Positions (direct):
Cr 0.500 0.500 0.750
P 0.000 0.000 0.508
P 0.000 0.000 0.992
Ru 0.500 0.500 0.250

*b*
This record from Alexandria describes an optimized crystal structure of CrP2Ru. The functional is GGA-PBE.

Computed properties:
As for the magnetic moment: 2.84 μB per formula unit. For the density of states at the Fermi level, the calculation gives 4.31 states/eV/f.u. Its space-group type is F-43m. As for the theoretical density: 6.66 g cm⁻³.

Cell: 4.232 4.232 4.232 Å, 60.00 60.00 60.00°
Positions (direct):
Ru 0.750 0.750 0.750
Cr 0.500 0.500 0.500
P 0.250 0.250 0.250
P 0.000 0.000 0.000

Relative energies in eV/atom: *a* 0.000; *b* 0.245

*a*
This record from Alexandria describes an optimized crystal structure of CrP2Ru. The functional is GGA-PBE.

Computed properties:
As for the magnetic moment: 1.70 μB per formula unit. For the density of states at the Fermi level, the calculation gives 2.37 states/eV/f.u. Its space-group type is R3m. As for the theoretical density: 6.44 g cm⁻³.

Cell: 3.576 3.576 5.412 Å, 70.71 70.71 60.00°
Positions (direct):
P 0.082 0.082 0.755
Ru 0.493 0.493 0.522
P 0.249 0.249 0.253
Cr 0.677 0.677 0.970

*b*
This record from Alexandria describes an optimized crystal structure of CrP2Ru. The functional is GGA-PBE.

Computed properties:
As for the magnetic moment: 2.19 μB per formula unit. For the density of states at the Fermi level, the calculation gives 2.51 states/eV/f.u. Its space-group type is I-42d. As for the theoretical density: 4.93 g cm⁻³.

Cell: 5.185 5.185 6.520 Å, 66.57 66.57 90.00°
Positions (direct):
P 0.875 0.881 0.750
P 0.119 0.625 0.250
Cr 0.250 0.750 0.500
P 0.631 0.125 0.250
Ru 0.000 0.000 0.000
Ru 0.750 0.250 0.500
P 0.375 0.369 0.750
Cr 0.500 0.500 0.000

Relative energies in eV/atom: *a* 0.000; *b* 0.224

*a*
This record from Alexandria describes an optimized crystal structure of CrP2Ru. The functional is GGA-PBE.

Computed properties:
As for the magnetic moment: 1.11 μB per formula unit. For the density of states at the Fermi level, the calculation gives 2.71 states/eV/f.u. Its space-group type is Pmmm. As for the theoretical density: 6.76 g cm⁻³.

Cell: 3.538 2.887 5.175 Å, 89.99 90.00 90.00°
Positions (direct):
Ru 0.500 0.250 0.250
P 0.000 0.251 0.536
P 0.000 0.249 0.964
Cr 0.500 0.750 0.750

*b*
This record from Alexandria describes an optimized crystal structure of CrP2Ru. The functional is GGA-PBE.

Computed properties:
As for the magnetic moment: 0.00 μB per formula unit. For the density of states at the Fermi level, the calculation gives 2.83 states/eV/f.u. Its space-group type is P4/mmm. As for the theoretical density: 7.47 g cm⁻³.

Cell: 2.883 2.883 5.748 Å, 90.00 90.00 90.00°
Positions (direct):
P 0.000 0.000 0.517
P 0.000 0.000 0.983
Ru 0.500 0.500 0.250
Cr 0.500 0.500 0.750

*c*
This record from Alexandria describes an optimized crystal structure of CrP2Ru. The functional is GGA-PBE.

Computed properties:
As for the magnetic moment: 0.55 μB per formula unit. For the density of states at the Fermi level, the calculation gives 3.30 states/eV/f.u. Its space-group type is C2/m. As for the theoretical density: 7.10 g cm⁻³.

Cell: 3.939 3.939 4.939 Å, 77.28 77.28 42.51°
Positions (direct):
P 0.503 0.503 0.472
Cr 0.250 0.250 0.250
Ru 0.750 0.750 0.750
P 0.997 0.997 0.028

Relative energies in eV/atom: *a* 0.218; *b* 0.000; *c* 0.098

*a*
This record from Alexandria describes an optimized crystal structure of CrP2Ru. The functional is GGA-PBE.

Computed properties:
As for the magnetic moment: 0.00 μB per formula unit. For the density of states at the Fermi level, the calculation gives 2.43 states/eV/f.u. Its space-group type is R3m. As for the theoretical density: 6.74 g cm⁻³.

Cell: 7.396 7.396 7.396 Å, 22.73 22.73 22.73°
Positions (direct):
Cr 0.741 0.741 0.741
P 0.004 0.004 0.004
P 0.248 0.248 0.248
Ru 0.507 0.507 0.507

*b*
This record from Alexandria describes an optimized crystal structure of CrP2Ru. The functional is GGA-PBE.

Computed properties:
As for the magnetic moment: 0.00 μB per formula unit. For the density of states at the Fermi level, the calculation gives 2.78 states/eV/f.u. Its space-group type is Cm. As for the theoretical density: 6.86 g cm⁻³.

Cell: 4.244 4.244 4.636 Å, 74.86 74.86 40.51°
Positions (direct):
Ru 0.496 0.496 0.527
P 0.989 0.989 0.129
Cr 0.269 0.269 0.118
P 0.746 0.746 0.725

*c*
This record from Alexandria describes an optimized crystal structure of CrP2Ru. The functional is GGA-PBE.

Computed properties:
As for the magnetic moment: 0.00 μB per formula unit. For the density of states at the Fermi level, the calculation gives 3.17 states/eV/f.u. Its space-group type is Immm. As for the theoretical density: 6.73 g cm⁻³.

Cell: 4.714 4.714 4.714 Å, 145.24 114.99 75.88°
Positions (direct):
Cr 0.250 0.750 0.500
P 0.492 0.492 0.000
Ru 0.750 0.250 0.500
P 0.008 0.008 0.000

*d*
This record from Alexandria describes an optimized crystal structure of CrP2Ru. The functional is GGA-PBE.

Computed properties:
As for the magnetic moment: 0.41 μB per formula unit. For the density of states at the Fermi level, the calculation gives 2.02 states/eV/f.u. Its space-group type is Pmmm. As for the theoretical density: 7.38 g cm⁻³.

Cell: 4.081 4.101 2.888 Å, 90.00 90.00 90.00°
Positions (direct):
P 0.000 0.000 0.000
P 0.500 0.500 0.000
Cr 0.000 0.500 0.500
Ru 0.500 0.000 0.500

Relative energies in eV/atom: *a* 0.305; *b* 0.000; *c* 0.459; *d* 0.070

*a*
This record from Alexandria describes an optimized crystal structure of CrP2RuS. The functional is GGA-PBE.

Computed properties:
As for the magnetic moment: 0.00 μB per formula unit. For the density of states at the Fermi level, the calculation gives 4.45 states/eV/f.u. Its space-group type is P4/mmm. As for the theoretical density: 4.98 g cm⁻³.

Cell: 4.373 4.373 4.308 Å, 90.00 90.00 90.00°
Positions (direct):
S 0.000 0.000 0.500
P 0.000 0.500 0.000
Cr 0.000 0.000 0.000
P 0.500 0.000 0.000
Ru 0.500 0.500 0.500

*b*
This record from Alexandria describes an optimized crystal structure of CrP2RuS. The functional is GGA-PBE.

Computed properties:
As for the magnetic moment: 0.49 μB per formula unit. For the density of states at the Fermi level, the calculation gives 5.40 states/eV/f.u. Its space-group type is P4/mmm. As for the theoretical density: 4.20 g cm⁻³.

Cell: 4.393 4.393 5.060 Å, 90.00 90.00 90.00°
Positions (direct):
P 0.000 0.500 0.000
Cr 0.500 0.500 0.500
P 0.500 0.000 0.000
Ru 0.000 0.000 0.000
S 0.000 0.000 0.500

Relative energies in eV/atom: *a* 0.000; *b* 0.285

*a*
This record from Alexandria describes an optimized crystal structure of CrP2S2. The functional is GGA-PBE.

Computed properties:
As for the magnetic moment: 0.25 μB per formula unit. For the density of states at the Fermi level, the calculation gives 4.48 states/eV/f.u. Its space-group type is P4/mmm. As for the theoretical density: 3.45 g cm⁻³.

Cell: 4.411 4.411 4.404 Å, 90.00 90.00 90.00°
Positions (direct):
P 0.000 0.000 0.500
Cr 0.500 0.500 0.500
S 0.000 0.500 0.000
S 0.500 0.000 0.000
P 0.000 0.000 0.000

*b*
This record from Alexandria describes an optimized crystal structure of CrP2S2. The functional is GGA-PBE.

Computed properties:
As for the magnetic moment: 0.00 μB per formula unit. For the density of states at the Fermi level, the calculation gives 3.53 states/eV/f.u. Its space-group type is P4/mmm. As for the theoretical density: 3.44 g cm⁻³.

Cell: 4.526 4.526 4.196 Å, 90.00 90.00 90.00°
Positions (direct):
Cr 0.000 0.000 0.000
P 0.000 0.500 0.000
S 0.000 0.000 0.500
S 0.500 0.500 0.500
P 0.500 0.000 0.000

*c*
This record from Alexandria describes an optimized crystal structure of CrP2S2. The functional is GGA-PBE.

Computed properties:
As for the magnetic moment: 3.10 μB per formula unit. For the density of states at the Fermi level, the calculation gives 3.33 states/eV/f.u. Its space-group type is P4/mmm. As for the theoretical density: 3.25 g cm⁻³.

Cell: 4.520 4.520 4.452 Å, 90.00 90.00 90.00°
Positions (direct):
P 0.500 0.000 0.000
P 0.000 0.500 0.000
Cr 0.500 0.500 0.500
S 0.000 0.000 0.000
S 0.000 0.000 0.500

Relative energies in eV/atom: *a* 0.533; *b* 0.000; *c* 0.430